{
  "formula": "BeCu2Ir",
  "functional": "PBE",
  "state": "optimized geometry",
  "dft_energy_ev_per_atom": -5.167,
  "ef_kj_per_mol_atoms": 2.6,
  "cell": [[2.7635, 0.0000, 0.0000], [0.0000, 2.7635, 0.0000], [0.0000, 0.0000, 6.0490]],
  "species": ["Be", "Ir", "Cu", "Cu"],
  "frac_coords": [[0.5000, 0.5000, 0.7500], [0.5000, 0.5000, 0.2500], [0.0000, 0.0000, 0.9596], [0.0000, 0.0000, 0.5404]]
}